Entry i
An optimized crystal structure of KLa2Cu. Source: the Alexandria database, functional PBE.

Computed properties:
As for the space group: R-3m. The calculation puts the density of states at the Fermi level at 1.51 states/eV per atom.

Cell lengths 11.727, 11.727, 11.727 Å; angles 19.34, 19.34, 19.34 degrees
Fractional positions:
1 K 0.000 0.000 0.000
2 La 0.221 0.221 0.221
3 La 0.779 0.779 0.779
4 Cu 0.500 0.500 0.500

---

Entry ii
An optimized crystal structure of KLa2Cu. Source: the Alexandria database, functional PBE.

Computed properties:
As for the space group: C2/m. The calculation puts the density of states at the Fermi level at 1.16 states/eV per atom.

Cell lengths 7.179, 7.179, 6.137 Å; angles 115.25, 115.25, 29.02 degrees
Fractional positions:
1 K 0.000 0.000 0.000
2 La 0.195 0.195 0.695
3 La 0.805 0.805 0.305
4 Cu 0.500 0.500 0.500

---

Which one sits at the bottom of the stability order? entry ii does.

---

Entry i
An optimized crystal structure of KLa2Cu. Source: the Alexandria database, functional PBE.

Computed properties:
As for the space group: I4/mmm. The calculation puts the density of states at the Fermi level at 1.33 states/eV per atom.

Cell lengths 6.421, 6.421, 6.421 Å; angles 135.22, 135.22, 65.18 degrees
Fractional positions:
1 K 0.000 0.000 0.000
2 La 0.250 0.750 0.500
3 La 0.750 0.250 0.500
4 Cu 0.500 0.500 0.000

---

Entry ii
An optimized crystal structure of KLa2Cu. Source: the Alexandria database, functional PBE.

Computed properties:
As for the space group: Fm-3m. The calculation puts the density of states at the Fermi level at 1.64 states/eV per atom.

Cell lengths 5.535, 5.535, 5.535 Å; angles 60.00, 60.00, 60.00 degrees
Fractional positions:
1 K 0.000 0.000 0.000
2 La 0.250 0.250 0.250
3 La 0.750 0.750 0.750
4 Cu 0.500 0.500 0.500

---

Entry iii
An optimized crystal structure of KLa2Cu. Source: the Alexandria database, functional PBE.

Computed properties:
As for the space group: P4/mmm. The calculation puts the density of states at the Fermi level at 1.43 states/eV per atom.

Cell lengths 4.942, 4.942, 5.327 Å; angles 90.00, 90.00, 90.00 degrees
Fractional positions:
1 K 0.000 0.000 0.000
2 La 0.000 0.500 0.500
3 La 0.500 0.000 0.500
4 Cu 0.500 0.500 0.000

---

Which one sits at the bottom of the stability order? entry i does.